TmIn6Hg after structural relaxation. Source: Alexandria via LeMat-Bulk, functional PBE.

```
TmIn6Hg
1.0
4.665 0.000 0.000
0.000 6.643 -0.059
0.000 0.026 6.644
Tm In Hg
1 6 1
Cartesian
2.333 0.000 0.000
0.000 4.992 1.614
0.000 1.677 4.971
0.000 5.001 4.937
0.000 1.668 1.647
2.333 3.322 -0.029
2.333 0.013 3.322
2.333 3.334 3.292
```

Results
The volume is 25.74 A^3/atom. As for the space-group type: Cmmm. For the formation energy, the calculation gives -118 meV per atom.

---

Be2MoP after structural relaxation. Source: Alexandria via LeMat-Bulk, functional PBE.

```
Be2MoP
1.0
3.163 0.000 0.000
0.000 3.162 0.000
0.000 0.000 4.673
P Mo Be
1 1 2
Cartesian
1.581 1.581 3.505
1.581 1.581 1.168
0.000 0.000 0.016
0.000 0.000 2.320
```

Results
The volume is 11.68 A^3/atom. As for the space-group type: P4/mmm. For the formation energy, the calculation gives -63 meV per atom.

---

HgMo2Ru after structural relaxation. Source: Alexandria via LeMat-Bulk, functional PBE.

```
HgMo2Ru
1.0
-2.824 0.357 -0.345
-0.002 -2.001 -2.053
-1.408 -5.737 5.593
Hg Mo Ru
1 2 1
Cartesian
-2.456 -5.072 2.944
-0.023 -0.095 0.093
-1.795 -2.377 0.316
-0.664 -2.706 2.638
```

Results
The volume is 16.72 A^3/atom. As for the space-group type: P4mm. For the formation energy, the calculation gives 345 meV per atom.

---

Ordered DFT total energy results: -2.768; -5.987; -7.465; unit eV/atom.